Record 1
# GGA-PBE K2ScHBr6, optimized geometry
data_K2ScHBr6
_space_group_name_H-M_alt 'P -1'
_space_group_IT_number 2
_space_group_name_Hall '-P 1'
_cell_length_a 7.417
_cell_length_b 7.684
_cell_length_c 7.737
_cell_angle_alpha 115.87
_cell_angle_beta 106.35
_cell_angle_gamma 104.06
loop_
_atom_site_label
_atom_site_fract_x
_atom_site_fract_y
_atom_site_fract_z
K1 0.115 0.293 0.307
Sc1 0.500 0.500 0.000
H1 0.500 0.000 0.500
Br1 0.127 0.212 0.857
Br2 0.335 0.678 0.820
Br3 0.481 0.744 0.389
# DFT total energy   -3.59 eV/atom

---

Record 2
# GGA-PBE YAs2PtBr, optimized geometry
data_YAs2PtBr
_space_group_name_H-M_alt 'P 4/m m m'
_space_group_IT_number 123
_space_group_name_Hall '-P 4 2'
_cell_length_a 4.924
_cell_length_b 4.924
_cell_length_c 5.123
_cell_angle_alpha 90.00
_cell_angle_beta 90.00
_cell_angle_gamma 90.00
loop_
_atom_site_label
_atom_site_fract_x
_atom_site_fract_y
_atom_site_fract_z
Y1 0.000 0.000 0.000
As1 0.000 0.500 0.500
Pt1 0.500 0.500 0.500
Br1 0.500 0.500 0.000
# Offset from the most stable computed form   0 meV per atom
# Formation energy from raw total energies   -0.117 eV per atom
# DFT total energy   -4.81 eV/atom

---

Record 3
# GGA-PBE Cr2CoSi, optimized geometry
data_Cr2CoSi
_space_group_name_H-M_alt 'P m m m'
_space_group_IT_number 47
_space_group_name_Hall '-P 2 2'
_cell_length_a 2.525
_cell_length_b 3.816
_cell_length_c 4.692
_cell_angle_alpha 90.00
_cell_angle_beta 90.00
_cell_angle_gamma 90.00
loop_
_atom_site_label
_atom_site_fract_x
_atom_site_fract_y
_atom_site_fract_z
Cr1 0.000 0.000 0.246
Co1 0.500 0.500 0.500
Si1 0.500 0.500 0.000
# Formation energy from raw total energies   -0.152 eV per atom
# DFT total energy   -8.10 eV/atom

---

Record 4
# GGA-PBE Ba7Ga4P9, optimized geometry
data_Ba7Ga4P9
_space_group_name_H-M_alt 'P m m n'
_space_group_IT_number 59
_cell_length_a 9.965
_cell_length_b 16.807
_cell_length_c 6.740
_cell_angle_alpha 90.00
_cell_angle_beta 90.00
_cell_angle_gamma 90.00
loop_
_space_group_symop_operation_xyz
'x,y,z'
'-x,-y,-z'
'-x+1/2,-y+1/2,z'
'x+1/2,y+1/2,-z'
'x+1/2,-y,-z'
'-x+1/2,y,z'
'-x,y+1/2,-z'
'x,-y+1/2,z'
loop_
_atom_site_label
_atom_site_fract_x
_atom_site_fract_y
_atom_site_fract_z
Ba1 0.030 0.125 0.059
Ba2 0.250 0.032 0.553
Ba3 0.250 0.750 0.600
Ga1 0.075 0.250 0.576
Ga2 0.250 0.628 0.232
P1 0.041 0.624 0.435
P2 0.250 0.250 0.316
P3 0.250 0.250 0.836
P4 0.250 0.515 0.022
P5 0.250 0.750 0.049
# Energy relative to the elements   -854 meV per atom
# DFT total energy   -4.57 eV/atom

---

Question: What is the DFT total energy in the fourth record?
Answer: -4.57 eV/atom

---

Question: DFT total energy of number 2 (YAs2PtBr)?
Answer: -4.81 eV/atom

---

Please write out number 2 again, unchanged.
# GGA-PBE YAs2PtBr, optimized geometry
data_YAs2PtBr
_space_group_name_H-M_alt 'P 4/m m m'
_space_group_IT_number 123
_space_group_name_Hall '-P 4 2'
_cell_length_a 4.924
_cell_length_b 4.924
_cell_length_c 5.123
_cell_angle_alpha 90.00
_cell_angle_beta 90.00
_cell_angle_gamma 90.00
loop_
_atom_site_label
_atom_site_fract_x
_atom_site_fract_y
_atom_site_fract_z
Y1 0.000 0.000 0.000
As1 0.000 0.500 0.500
Pt1 0.500 0.500 0.500
Br1 0.500 0.500 0.000
# Offset from the most stable computed form   0 meV per atom
# Formation energy from raw total energies   -0.117 eV per atom
# DFT total energy   -4.81 eV/atom